Entry 1:
TlH2OsBr8: optimized geometry, GGA-PBE.

Computed properties:
E_tot: -3.095 eV per atom

Cell and atoms, written as POSCAR:
```
TlH2OsBr8
1.0
7.034 0.000 0.000
-0.437 7.212 0.000
-0.390 -0.318 9.000
Tl H Os Br
1 2 1 8
Cartesian
0.000 0.000 0.000
1.336 4.850 2.175
4.870 2.044 6.825
-0.195 -0.159 4.500
0.894 5.090 4.337
1.208 1.087 2.867
1.210 0.761 6.336
1.673 4.641 0.748
4.534 2.254 8.252
4.996 6.133 2.664
4.999 5.808 6.133
5.313 1.804 4.663
```

=====

Entry 2:
Er4Sc: optimized geometry, GGA-PBE.

Computed properties:
energy relative to the elements: 72 meV/atom
ΔE to the lowest computed polymorph: 0.031 eV/atom
E_tot: -4.844 eV per atom

Cell and atoms, written as POSCAR:
```
Er4Sc
1.0
2.664 -8.070 0.000
2.664 8.070 0.000
0.000 0.000 3.431
Er Sc
4 1
Cartesian
2.664 6.326 0.000
2.664 3.174 1.716
2.664 -3.174 1.716
2.664 -6.326 0.000
2.664 0.000 1.716
```

=====

Entry 3:
CsUGaO5: optimized geometry, GGA-PBE.

Computed properties:
formation energy (no corrections): -1882 kJ/mol of formula units
E_tot: -7.433 eV per atom

Cell and atoms, written as POSCAR:
```
CsUGaO5
1.0
3.858 -5.037 0.000
3.858 5.037 0.000
-3.733 0.000 7.293
Cs U Ga O
2 2 2 10
Cartesian
1.059 3.351 5.470
2.925 -3.351 1.823
3.858 0.000 0.000
1.992 0.000 3.647
2.925 3.098 1.823
1.059 -3.098 5.470
-1.639 0.791 6.437
1.847 1.924 2.853
0.228 -0.791 2.790
4.003 1.924 0.794
1.059 0.492 5.470
2.925 -0.492 1.823
-0.020 -1.924 6.499
3.756 0.791 4.503
2.137 -1.924 4.441
5.622 -0.791 0.857
```

=====

Entry 4:
CeThFe: optimized geometry, GGA-PBE.

Computed properties:
energy relative to the elements: -68 meV/atom
ΔE to the lowest computed polymorph: 0.006 eV/atom
E_tot: -7.340 eV per atom

Cell and atoms, written as POSCAR:
```
CeThFe
1.0
7.031 0.000 0.000
0.000 5.773 0.000
-0.224 0.000 7.431
Ce Th Fe
4 4 4
Cartesian
0.749 1.322 2.818
0.637 1.564 6.534
6.169 4.209 0.897
6.057 4.450 4.613
2.472 3.782 5.012
2.585 4.877 1.296
4.222 0.896 6.135
4.334 1.990 2.419
2.368 0.777 4.141
2.480 2.109 0.425
4.326 3.664 7.006
4.439 4.995 3.290
```

=====

Entry 5:
BaSr2In: optimized geometry, GGA-PBE.

Computed properties:
energy relative to the elements: -29 meV/atom
ΔE to the lowest computed polymorph: 0.192 eV/atom
E_tot: -2.035 eV per atom

Cell and atoms, written as POSCAR:
```
BaSr2In
1.0
3.880 -6.503 0.000
3.880 6.503 0.000
-1.896 0.000 3.569
Ba Sr In
1 2 1
Cartesian
0.000 0.000 0.000
0.992 3.251 1.784
0.992 -3.251 1.784
3.880 0.000 0.000
```

=====

Entry 6:
Ac4NdTh3N8: optimized geometry, GGA-PBE.

Computed properties:
formation energy (no corrections): -2072 kJ/mol of formula units
E_tot: -8.221 eV per atom

Cell and atoms, written as POSCAR:
```
Ac4NdTh3N8
1.0
3.758 2.170 6.221
-3.758 2.170 6.221
0.000 -4.339 6.221
Ac Nd Th N
4 1 3 8
Cartesian
0.000 0.000 0.000
-1.879 -1.085 6.221
-1.879 1.085 12.443
0.000 2.170 6.221
0.000 0.000 9.332
-3.758 0.000 9.332
-1.879 1.085 3.111
1.879 1.085 3.111
-1.928 -1.113 10.707
0.000 0.000 4.455
0.000 -2.227 7.957
-1.928 1.113 7.957
1.928 -1.113 10.707
0.000 2.227 10.707
0.000 0.000 14.209
1.928 1.113 7.957
```

=====

Entry 7:
GaMo: optimized geometry, GGA-PBE.

Computed properties:
energy relative to the elements: 39 meV/atom
ΔE to the lowest computed polymorph: 0.126 eV/atom
E_tot: -6.890 eV per atom

Cell and atoms, written as POSCAR:
```
GaMo
1.0
4.765 -1.584 0.000
4.765 1.584 0.000
-2.773 0.000 4.436
Ga Mo
2 2
Cartesian
-0.517 0.000 1.295
7.274 0.000 3.141
0.390 0.000 3.803
6.367 0.000 0.634
```

=====

Entry 8:
Ga2AgB: optimized geometry, GGA-PBE.

Computed properties:
energy relative to the elements: 476 meV/atom
E_tot: -3.419 eV per atom

Cell and atoms, written as POSCAR:
```
Ga2AgB
1.0
-2.724 2.724 5.297
2.724 -2.724 5.297
2.724 2.724 -5.297
Ga Ag B
4 2 2
Cartesian
4.086 0.787 -1.324
0.787 1.362 1.324
-1.362 1.937 3.973
1.937 1.362 6.621
2.724 0.000 2.648
0.000 0.000 5.297
0.000 0.000 0.000
0.000 2.724 2.648
```

=====

Entry 9:
ZrReIr2I: optimized geometry, GGA-PBE.

Computed properties:
formation energy (no corrections): 1035 kJ/mol of formula units
E_tot: -5.908 eV per atom

Cell and atoms, written as POSCAR:
```
ZrReIr2I
1.0
4.790 0.000 0.000
0.000 4.790 0.000
0.000 0.000 5.128
Zr Re Ir I
1 1 2 1
Cartesian
0.000 0.000 0.000
2.395 2.395 0.000
0.000 2.395 2.564
2.395 0.000 2.564
0.000 0.000 2.564
```

=====

Entry 10:
Cs4PrSm3Se8: optimized geometry, GGA-PBE.

Computed properties:
formation energy (no corrections): -2669 kJ/mol of formula units
E_tot: -4.868 eV per atom

Cell and atoms, written as POSCAR:
```
Cs4PrSm3Se8
1.0
4.373 2.525 8.404
-4.373 2.525 8.404
0.000 -5.050 8.404
Cs Pr Sm Se
4 1 3 8
Cartesian
0.000 0.000 0.000
-2.187 -1.262 8.404
-2.187 1.262 16.807
0.000 2.525 8.404
0.000 0.000 12.605
-4.373 0.000 12.605
-2.187 1.262 4.202
2.187 1.262 4.202
-2.214 -1.278 14.201
0.000 0.000 5.783
0.000 -2.556 11.010
-2.214 1.278 11.010
2.214 -1.278 14.201
0.000 2.556 14.201
0.000 0.000 19.427
2.214 1.278 11.010
```

=====

Entry 11:
LiLaOsW2: optimized geometry, GGA-PBE.

Computed properties:
energy relative to the elements: 2645 meV/atom
E_tot: -6.150 eV per atom

Cell and atoms, written as POSCAR:
```
LiLaOsW2
1.0
4.816 0.000 0.000
0.000 4.816 0.000
0.000 0.000 4.218
Li La Os W
1 1 1 2
Cartesian
0.000 0.000 0.000
0.000 0.000 2.109
2.408 2.408 0.000
0.000 2.408 2.109
2.408 0.000 2.109
```

=====

Entry 12:
TbPmMg2: optimized geometry, GGA-PBE.

Computed properties:
energy relative to the elements: -98 meV/atom
ΔE to the lowest computed polymorph: 0.004 eV/atom
E_tot: -3.240 eV per atom

Cell and atoms, written as POSCAR:
```
TbPmMg2
1.0
5.409 0.000 0.000
0.000 5.409 0.000
0.000 0.000 3.841
Tb Pm Mg
1 1 2
Cartesian
0.000 0.000 0.000
2.705 2.705 0.000
0.000 2.705 1.921
2.705 0.000 1.921
```

=====

Entry 13:
TbSmAsS: optimized geometry, GGA-PBE.

Computed properties:
formation energy (no corrections): -691 kJ/mol of formula units
E_tot: -6.321 eV per atom

Cell and atoms, written as POSCAR:
```
TbSmAsS
1.0
4.088 0.000 0.000
0.000 4.088 0.000
0.000 0.000 5.752
Tb Sm As S
1 1 1 1
Cartesian
0.000 0.000 0.000
2.044 2.044 2.876
0.000 0.000 2.876
2.044 2.044 0.000
```

=====

Entry 14:
K5IBr6: optimized geometry, GGA-PBE.

Computed properties:
formation energy (no corrections): -1633 kJ/mol of formula units
E_tot: -2.833 eV per atom

Cell and atoms, written as POSCAR:
```
K5IBr6
1.0
4.249 -7.216 0.000
4.249 7.216 0.000
-1.315 0.000 8.093
K I Br
5 1 6
Cartesian
0.000 0.000 0.000
3.591 3.803 4.046
4.249 2.409 0.000
4.249 -2.409 0.000
3.591 -3.803 4.046
3.591 0.000 4.046
1.426 2.517 1.779
1.643 0.000 5.976
1.426 -2.517 1.779
5.755 2.517 6.314
5.538 0.000 2.117
5.755 -2.517 6.314
```